(1)
! Tb2PmTm3, relaxed, DFT GGA-PBE; values from VASP
&SYSTEM
  ibrav = 0, nat = 12, ntyp = 3
/
ATOMIC_SPECIES
Tb 158.93 Tb.upf
Pm 145.00 Pm.upf
Tm 168.93 Tm.upf
CELL_PARAMETERS angstrom
8.672 -3.542 0.000
8.672 3.542 0.000
-0.029 0.000 6.116
ATOMIC_POSITIONS crystal
Tb 0.042 0.292 0.417
Tb 0.292 0.042 0.917
Tb 0.708 0.958 0.083
Tb 0.958 0.708 0.583
Pm 0.375 0.625 0.750
Pm 0.625 0.375 0.250
Tm 0.124 0.876 0.250
Tm 0.207 0.458 0.084
Tm 0.458 0.207 0.584
Tm 0.542 0.793 0.416
Tm 0.793 0.542 0.916
Tm 0.876 0.124 0.750
! Calculated volume ... 187.86 Å³/f.u.
! Polymorph energy (0 for the lowest one) ... 14.3 meV/atom

(2)
! Tb3Pm6Tm2, relaxed, DFT GGA-PBE; values from VASP
&SYSTEM
  ibrav = 0, nat = 11, ntyp = 3
/
ATOMIC_SPECIES
Tb 158.93 Tb.upf
Pm 145.00 Pm.upf
Tm 168.93 Tm.upf
CELL_PARAMETERS angstrom
1.799 1.039 32.173
-1.799 1.039 32.173
0.000 -2.077 32.173
ATOMIC_POSITIONS crystal
Tb 0.000 0.000 0.000
Tb 0.273 0.273 0.273
Tb 0.727 0.727 0.727
Pm 0.091 0.091 0.091
Pm 0.182 0.182 0.182
Pm 0.364 0.364 0.364
Pm 0.636 0.636 0.636
Pm 0.818 0.818 0.818
Pm 0.909 0.909 0.909
Tm 0.454 0.454 0.454
Tm 0.546 0.546 0.546
! Calculated volume ... 360.62 Å³/f.u.
! Polymorph energy (0 for the lowest one) ... 0.0 meV/atom

(3)
! Tb8Pm3Tm4, relaxed, DFT GGA-PBE; values from VASP
&SYSTEM
  ibrav = 0, nat = 15, ntyp = 3
/
ATOMIC_SPECIES
Tb 158.93 Tb.upf
Pm 145.00 Pm.upf
Tm 168.93 Tm.upf
CELL_PARAMETERS angstrom
6.836 -6.037 0.000
6.836 6.037 0.000
-3.229 0.000 5.987
ATOMIC_POSITIONS crystal
Tb 0.203 0.203 0.181
Tb 0.203 0.797 0.000
Tb 0.252 0.748 0.500
Tb 0.253 0.253 0.718
Tb 0.747 0.747 0.282
Tb 0.748 0.252 0.500
Tb 0.797 0.203 0.000
Tb 0.797 0.797 0.819
Pm 0.000 0.000 0.500
Pm 0.000 0.500 0.000
Pm 0.500 0.000 0.000
Tm 0.000 0.500 0.500
Tm 0.500 0.000 0.500
Tm 0.500 0.500 0.000
Tm 0.500 0.500 0.500
! Calculated volume ... 494.17 Å³/f.u.

(4)
! Tb5Pm2Tm6, relaxed, DFT GGA-PBE; values from VASP
&SYSTEM
  ibrav = 0, nat = 26, ntyp = 3
/
ATOMIC_SPECIES
Tb 158.93 Tb.upf
Pm 145.00 Pm.upf
Tm 168.93 Tm.upf
CELL_PARAMETERS angstrom
11.598 0.000 0.000
0.000 20.154 0.000
0.000 0.000 3.555
ATOMIC_POSITIONS crystal
Tb 0.000 0.000 0.000
Tb 0.090 0.276 0.000
Tb 0.200 0.550 0.000
Tb 0.300 0.050 0.000
Tb 0.410 0.776 0.000
Tb 0.500 0.500 0.000
Tb 0.590 0.224 0.000
Tb 0.700 0.950 0.000
Tb 0.800 0.450 0.000
Tb 0.910 0.724 0.000
Pm 0.169 0.714 0.500
Pm 0.331 0.214 0.500
Pm 0.669 0.786 0.500
Pm 0.831 0.286 0.500
Tm 0.059 0.421 0.500
Tm 0.079 0.133 0.500
Tm 0.178 0.870 0.000
Tm 0.322 0.370 0.000
Tm 0.421 0.633 0.500
Tm 0.441 0.921 0.500
Tm 0.559 0.079 0.500
Tm 0.579 0.367 0.500
Tm 0.678 0.630 0.000
Tm 0.822 0.130 0.000
Tm 0.921 0.867 0.500
Tm 0.941 0.579 0.500
! Calculated volume ... 415.50 Å³/f.u.

(5)
! Tb5PmTm12, relaxed, DFT GGA-PBE; values from VASP
&SYSTEM
  ibrav = 0, nat = 18, ntyp = 3
/
ATOMIC_SPECIES
Tb 158.93 Tb.upf
Pm 145.00 Pm.upf
Tm 168.93 Tm.upf
CELL_PARAMETERS angstrom
2.484 -7.472 0.000
2.484 7.472 0.000
0.000 0.000 14.919
ATOMIC_POSITIONS crystal
Tb 0.000 0.000 0.000
Tb 0.167 0.833 0.500
Tb 0.333 0.667 0.000
Tb 0.667 0.333 0.000
Tb 0.833 0.167 0.500
Pm 0.500 0.500 0.500
Tm 0.000 0.000 0.331
Tm 0.000 0.000 0.669
Tm 0.167 0.833 0.167
Tm 0.167 0.833 0.833
Tm 0.333 0.667 0.332
Tm 0.333 0.667 0.668
Tm 0.500 0.500 0.167
Tm 0.500 0.500 0.833
Tm 0.667 0.333 0.332
Tm 0.667 0.333 0.668
Tm 0.833 0.167 0.167
Tm 0.833 0.167 0.833
! Calculated volume ... 553.78 Å³/f.u.

(6)
! TbPm6Tm8, relaxed, DFT GGA-PBE; values from VASP
&SYSTEM
  ibrav = 0, nat = 15, ntyp = 3
/
ATOMIC_SPECIES
Tb 158.93 Tb.upf
Pm 145.00 Pm.upf
Tm 168.93 Tm.upf
CELL_PARAMETERS angstrom
4.507 2.602 6.914
-4.507 2.602 6.914
0.000 -5.204 6.914
ATOMIC_POSITIONS crystal
Tb 0.000 0.000 0.000
Pm 0.105 0.225 0.538
Pm 0.225 0.538 0.105
Pm 0.462 0.895 0.775
Pm 0.538 0.105 0.225
Pm 0.775 0.462 0.895
Pm 0.895 0.775 0.462
Tm 0.111 0.748 0.717
Tm 0.252 0.283 0.889
Tm 0.283 0.889 0.252
Tm 0.423 0.423 0.423
Tm 0.577 0.577 0.577
Tm 0.717 0.111 0.748
Tm 0.748 0.717 0.111
Tm 0.889 0.252 0.283
! Calculated volume ... 486.56 Å³/f.u.

(7)
! TbPm2Tm, relaxed, DFT GGA-PBE; values from VASP
&SYSTEM
  ibrav = 0, nat = 4, ntyp = 3
/
ATOMIC_SPECIES
Tb 158.93 Tb.upf
Pm 145.00 Pm.upf
Tm 168.93 Tm.upf
CELL_PARAMETERS angstrom
1.803 1.041 11.610
-1.803 1.041 11.610
0.000 -2.082 11.610
ATOMIC_POSITIONS crystal
Tb 0.000 0.000 0.000
Pm 0.417 0.417 0.417
Pm 0.582 0.582 0.582
Tm 0.833 0.833 0.833
! Calculated volume ... 130.77 Å³/f.u.
! Polymorph energy (0 for the lowest one) ... 1.0 meV/atom

(8)
! TbPm4Tm3, relaxed, DFT GGA-PBE; values from VASP
&SYSTEM
  ibrav = 0, nat = 8, ntyp = 3
/
ATOMIC_SPECIES
Tb 158.93 Tb.upf
Pm 145.00 Pm.upf
Tm 168.93 Tm.upf
CELL_PARAMETERS angstrom
2.830 -12.946 0.000
2.830 12.946 0.000
0.000 0.000 3.618
ATOMIC_POSITIONS crystal
Tb 0.000 0.000 0.000
Pm 0.103 0.897 0.500
Pm 0.223 0.777 0.500
Pm 0.777 0.223 0.500
Pm 0.897 0.103 0.500
Tm 0.349 0.651 0.000
Tm 0.500 0.500 0.500
Tm 0.651 0.349 0.000
! Calculated volume ... 265.11 Å³/f.u.
! Polymorph energy (0 for the lowest one) ... 181.8 meV/atom

(9)
! Tb6Pm2Tm, relaxed, DFT GGA-PBE; values from VASP
&SYSTEM
  ibrav = 0, nat = 18, ntyp = 3
/
ATOMIC_SPECIES
Tb 158.93 Tb.upf
Pm 145.00 Pm.upf
Tm 168.93 Tm.upf
CELL_PARAMETERS angstrom
6.410 -7.172 0.000
6.410 7.172 0.000
-1.670 0.000 6.382
ATOMIC_POSITIONS crystal
Tb 0.038 0.441 0.727
Tb 0.151 0.777 0.995
Tb 0.223 0.849 0.505
Tb 0.278 0.460 0.185
Tb 0.441 0.038 0.227
Tb 0.460 0.278 0.685
Tb 0.540 0.722 0.315
Tb 0.559 0.962 0.773
Tb 0.722 0.540 0.815
Tb 0.777 0.151 0.495
Tb 0.849 0.223 0.005
Tb 0.962 0.559 0.273
Pm 0.120 0.169 0.372
Pm 0.169 0.120 0.872
Pm 0.831 0.880 0.128
Pm 0.880 0.831 0.628
Tm 0.382 0.618 0.750
Tm 0.618 0.382 0.250
! Calculated volume ... 293.41 Å³/f.u.
! Polymorph energy (0 for the lowest one) ... 3.1 meV/atom

(10)
! TbPm7Tm3, relaxed, DFT GGA-PBE; values from VASP
&SYSTEM
  ibrav = 0, nat = 11, ntyp = 3
/
ATOMIC_SPECIES
Tb 158.93 Tb.upf
Pm 145.00 Pm.upf
Tm 168.93 Tm.upf
CELL_PARAMETERS angstrom
7.154 0.000 0.000
-3.577 6.196 0.000
0.000 0.000 8.631
ATOMIC_POSITIONS crystal
Tb 0.000 0.000 0.000
Pm 0.002 0.501 0.986
Pm 0.332 0.166 0.335
Pm 0.333 0.667 0.320
Pm 0.499 0.501 0.986
Pm 0.499 0.998 0.986
Pm 0.834 0.166 0.335
Pm 0.834 0.668 0.335
Tm 0.166 0.332 0.662
Tm 0.166 0.834 0.662
Tm 0.668 0.834 0.662
! Calculated volume ... 382.60 Å³/f.u.
! Polymorph energy (0 for the lowest one) ... 5.8 meV/atom

(11)
! Tb2Pm5Tm4, relaxed, DFT GGA-PBE; values from VASP
&SYSTEM
  ibrav = 0, nat = 11, ntyp = 3
/
ATOMIC_SPECIES
Tb 158.93 Tb.upf
Pm 145.00 Pm.upf
Tm 168.93 Tm.upf
CELL_PARAMETERS angstrom
-1.755 4.529 11.707
1.755 -4.529 11.707
1.755 4.529 -11.707
ATOMIC_POSITIONS crystal
Tb 0.231 0.231 0.000
Tb 0.769 0.769 0.000
Pm 0.155 0.355 0.800
Pm 0.445 0.645 0.800
Pm 0.500 0.000 0.500
Pm 0.555 0.355 0.200
Pm 0.845 0.645 0.200
Tm 0.096 0.096 0.000
Tm 0.185 0.500 0.685
Tm 0.815 0.500 0.315
Tm 0.904 0.904 0.000
! Calculated volume ... 372.32 Å³/f.u.
! Polymorph energy (0 for the lowest one) ... 22.2 meV/atom

(12)
! TbPm4Tm7, relaxed, DFT GGA-PBE; values from VASP
&SYSTEM
  ibrav = 0, nat = 12, ntyp = 3
/
ATOMIC_SPECIES
Tb 158.93 Tb.upf
Pm 145.00 Pm.upf
Tm 168.93 Tm.upf
CELL_PARAMETERS angstrom
6.029 -2.921 0.000
6.029 2.921 0.000
-5.999 0.000 11.214
ATOMIC_POSITIONS crystal
Tb 0.000 0.000 0.000
Pm 0.222 0.222 0.666
Pm 0.361 0.361 0.223
Pm 0.639 0.639 0.777
Pm 0.778 0.778 0.334
Tm 0.069 0.069 0.311
Tm 0.212 0.212 0.924
Tm 0.368 0.368 0.506
Tm 0.500 0.500 0.000
Tm 0.632 0.632 0.494
Tm 0.788 0.788 0.076
Tm 0.931 0.931 0.689
! Calculated volume ... 394.96 Å³/f.u.
! Polymorph energy (0 for the lowest one) ... 187.5 meV/atom

no.,spin magnetization (μB/f.u.),electronic total energy (eV/atom),ΔE_f (eV/atom)
1,0.00,-4.55,0.02
2,0.00,-4.65,0.02
3,0.00,-4.24,0.38
4,0.00,-4.48,0.10
5,0.00,-4.51,0.02
6,0.00,-4.47,0.13
7,0.00,-4.63,0.02
8,0.00,-4.43,0.21
9,0.00,-4.53,0.11
10,0.00,-4.48,0.19
11,0.00,-4.44,0.19
12,0.01,-4.30,0.28